VASP calculation (PBE) on a relaxed structure of SmTmIr.

Values from the calculation:
As for the raw total energy: -6.55 eV per atom. As for the total magnetization: 0.00 μB/atom. Its symmetry is P3m1. The calculation puts the formation energy from the elements at -0.53 eV/atom. For the energy relative to the lowest polymorph listed for this composition, the calculation gives 183 meV/atom.

a = 6.1508 Å, b = 4.1257 Å, c = 4.1257 Å
α = 120.00°, β = 90.00°, γ = 90.00°
Fractional coordinates of all 3 atoms:
Tm (0.1074, 0.0000, 0.0000)
Sm (0.5672, 0.6667, 0.3333)
Ir (0.3253, 0.3333, 0.6667)